DFT (PBE) results for an optimized crystal structure of MgScSe2Br.

It has space group P4/mmm (No. 123), with a = 5.0972 Å, b = 5.0972 Å, c = 4.8736 Å, α = 90.00°, β = 90.00° and γ = 90.00°. The inequivalent atoms are Mg at (0.0000, 0.0000, 0.0000), Sc at (0.5000, 0.5000, 0.5000), Se at (0.0000, 0.5000, 0.0000) and Br at (0.0000, 0.0000, 0.5000).

=====

DFT (PBE) results for an optimized crystal structure of MgScSe2Br.

It has space group P4/mmm (No. 123), with a = 5.2186 Å, b = 5.2186 Å, c = 5.1439 Å, α = 90.00°, β = 90.00° and γ = 90.00°. The inequivalent atoms are Mg at (0.0000, 0.0000, 0.0000), Sc at (0.5000, 0.5000, 0.5000), Se at (0.0000, 0.5000, 0.5000) and Br at (0.5000, 0.5000, 0.0000).

=====

DFT (PBE) results for an optimized crystal structure of MgScSeBr2.

It has space group P4/mmm (No. 123), with a = 5.0021 Å, b = 5.0021 Å, c = 5.3474 Å, α = 90.00°, β = 90.00° and γ = 90.00°. The inequivalent atoms are Mg at (0.0000, 0.0000, 0.0000), Sc at (0.5000, 0.5000, 0.5000), Se at (0.0000, 0.0000, 0.5000) and Br at (0.0000, 0.5000, 0.0000).

=====

The evaluated energy relative to the elements, uncorrected for the records listed, in turn: -581 -832 -697 meV/atom.
The evaluated D(E_F) for the records listed, in turn: 0.97 1.91 6.01 states/eV per cell.
The evaluated E above lowest polymorph for the records listed, in turn: 0.2516 0.0000 0.2563 eV per atom.